Below is crystalline Er3FeNi8 at its relaxed geometry, with properties calculated at the PBE level.

abc: 4.9660 4.9660 24.0087
angles: 90.00 90.00 120.00
Space group R-3m (No. 166, hexagonal axes)
Symmetry-distinct sites (fractional):
Er1 0.0000 0.0000 0.0000 [3 per cell]
Er2 0.0000 0.0000 0.1388 [6 per cell]
Fe1 0.0000 0.0000 0.5000 [3 per cell]
Ni1 0.0000 0.0000 0.3335 [6 per cell]
Ni2 0.0022 0.5011 0.9165 [18 per cell]

Properties
Energy of formation, eV per atom: -0.38
Crystal system: trigonal

Below is crystalline SrHgNO at its relaxed geometry, with properties calculated at the PBE level.

abc: 4.9109 4.9109 5.2725
angles: 90.00 90.00 90.00
Space group P4/nmm (No. 129, origin choice 2)
Symmetry-distinct sites (fractional):
Sr1 0.2500 0.2500 0.0028 [2 per cell]
Hg1 0.2500 0.7500 0.5000 [2 per cell]
N1 0.2500 0.2500 0.5021 [2 per cell]
O1 0.2500 0.7500 0.0000 [2 per cell]

Properties
Crystal system: tetragonal
Energy relative to the lowest polymorph listed for this composition, eV per formula unit: 0.000

Below is crystalline CsNd2CuTeS3 at its relaxed geometry, with properties calculated at the PBE level.

abc: 4.2634 15.0545 14.3042
angles: 90.00 90.00 90.00
Space group Cmcm (No. 63)
Symmetry-distinct sites (fractional):
Cs1 0.0000 0.0988 0.2500 [4 per cell]
Nd1 0.0000 0.3528 0.0665 [8 per cell]
Cu1 0.0000 0.1704 0.7500 [4 per cell]
Te1 0.0000 0.0000 0.0000 [4 per cell]
S1 0.0000 0.2595 0.6118 [8 per cell]
S2 0.0000 0.4099 0.2500 [4 per cell]

Properties
Crystal system: orthorhombic
Energy relative to the lowest polymorph listed for this composition, eV per formula unit: 0.000

> Number 3 is which compound?

CsNd2CuTeS3